Crystalline FeReOs2 at its relaxed geometry. Source: Alexandria, functional PBE-GGA.

Cell lengths 4.3160, 4.3160, 4.3160 Å; angles 60.00, 60.00, 60.00 degrees
Closest atoms and distances in Å follow each position.
Fractional positions:
Fe: 0.0000 0.0000 0.0000  8 Os 2.64
Re: 0.5000 0.5000 0.5000  8 Os 2.64
Os: 0.2500 0.2500 0.2500  4 Fe 2.64, 4 Re 2.64
Os: 0.7500 0.7500 0.7500  4 Fe 2.64, 4 Re 2.64

Properties
Its crystal system is cubic. The density of states at the Fermi level is 3.50 states/eV/f.u. As for the space group: Fm-3m, No. 225. The calculation puts the formation energy from the elements at 368 meV per atom. The energy above the most stable polymorph in this dataset is 26.3 kJ/mol of atoms.

Crystalline FeReOs2 at its relaxed geometry. Source: Alexandria, functional PBE-GGA.

Cell lengths 8.9283, 8.9283, 8.9283 Å; angles 17.50, 17.50, 17.50 degrees
Closest atoms and distances in Å follow each position.
Fractional positions:
Fe: 0.0000 0.0000 0.0000  6 Os 2.66, 6 Fe 2.72
Re: 0.5000 0.5000 0.5000  6 Re 2.72, 6 Os 2.74
Os: 0.2521 0.2521 0.2521  3 Fe 2.66, 6 Os 2.72, 3 Re 2.74
Os: 0.7479 0.7479 0.7479  3 Fe 2.66, 6 Os 2.72, 3 Re 2.74

Properties
Its crystal system is trigonal. The density of states at the Fermi level is 4.09 states/eV/f.u. As for the space group: R-3m, No. 166. The calculation puts the formation energy from the elements at 127 meV per atom. The energy above the most stable polymorph in this dataset is 3.0 kJ/mol of atoms.

Crystalline FeReOs2 at its relaxed geometry. Source: Alexandria, functional PBE-GGA.

Cell lengths 4.4663, 4.4663, 2.8552 Å; angles 90.00, 90.00, 90.00 degrees
Closest atoms and distances in Å follow each position.
Fractional positions:
Fe: 0.0000 0.0000 0.0000  8 Os 2.65, 2 Fe 2.86
Re: 0.5000 0.5000 0.0000  8 Os 2.65, 2 Re 2.86
Os: 0.0000 0.5000 0.5000  4 Fe 2.65, 4 Re 2.65, 2 Os 2.86
Os: 0.5000 0.0000 0.5000  4 Fe 2.65, 4 Re 2.65, 2 Os 2.86

Properties
Its crystal system is tetragonal. The density of states at the Fermi level is 4.60 states/eV/f.u. As for the space group: P4/mmm, No. 123. The calculation puts the formation energy from the elements at 423 meV per atom. The energy above the most stable polymorph in this dataset is 31.6 kJ/mol of atoms.

Crystalline FeReOs2 at its relaxed geometry. Source: Alexandria, functional PBE-GGA.

Cell lengths 4.6728, 4.6728, 4.6516 Å; angles 99.40, 99.40, 33.78 degrees
Closest atoms and distances in Å follow each position.
Fractional positions:
Fe: 0.0000 0.0000 0.0000  7 Os 2.66-2.72, 3 Re 2.67-2.71, 2 Fe 2.71
Re: 0.7510 0.7510 0.2465  7 Os 2.66-2.72, 3 Fe 2.67-2.71, 2 Re 2.71
Os: 0.2465 0.2465 0.7526  3 Fe 2.66-2.72, 4 Re 2.66-2.72, 5 Os 2.67-2.72
Os: 0.5015 0.5015 0.5055  5 Os 2.67-2.72, 4 Fe 2.67-2.71, 3 Re 2.71-2.72

Properties
Its crystal system is monoclinic. The density of states at the Fermi level is 4.35 states/eV/f.u. As for the space group: Cm, No. 8. The calculation puts the formation energy from the elements at 131 meV per atom. The energy above the most stable polymorph in this dataset is 3.4 kJ/mol of atoms.

Crystalline FeRe4Os at its relaxed geometry. Source: Alexandria, functional PBE-GGA.

Cell lengths 5.0979, 5.0979, 5.0979 Å; angles 60.00, 60.00, 60.00 degrees
Closest atoms and distances in Å follow each position.
Fractional positions:
Fe: 0.0000 0.0000 0.0000  12 Re 2.99, 4 Os 3.12
Re: 0.3744 0.3744 0.3744  6 Re 2.54-2.56
Re: 0.3744 0.3744 0.8767  6 Re 2.54-2.56
Re: 0.3744 0.8767 0.3744  6 Re 2.54-2.56
Re: 0.8767 0.3744 0.3744  6 Re 2.54-2.56
Os: 0.7500 0.7500 0.7500  12 Re 2.99, 4 Fe 3.12

Properties
Its crystal system is cubic. The density of states at the Fermi level is 2.95 states/eV/f.u. As for the space group: F-43m, No. 216. The calculation puts the formation energy from the elements at 544 meV per atom.

Crystalline FeReOs4 at its relaxed geometry. Source: Alexandria, functional PBE-GGA.

Cell lengths 5.0772, 5.0772, 5.0772 Å; angles 60.00, 60.00, 60.00 degrees
Closest atoms and distances in Å follow each position.
Fractional positions:
Fe: 0.0000 0.0000 0.0000  12 Os 2.98, 4 Re 3.11
Re: 0.2500 0.2500 0.2500  12 Os 2.98, 4 Fe 3.11
Os: 0.1245 0.6252 0.6252  6 Os 2.53-2.54
Os: 0.6252 0.1245 0.6252  6 Os 2.53-2.54
Os: 0.6252 0.6252 0.1245  6 Os 2.53-2.54
Os: 0.6252 0.6252 0.6252  6 Os 2.53-2.54

Properties
Its crystal system is cubic. The density of states at the Fermi level is 7.23 states/eV/f.u. As for the space group: F-43m, No. 216. The calculation puts the formation energy from the elements at 735 meV per atom.